Entry 1:
Material: Li2CaPrHg2
Method: DFT, PBE-GGA
State: relaxed

a b c (Å): 4.901 4.901 7.199
angles (deg): 90.00 90.00 120.00
Fractional coordinates of all 6 atoms:
Li 0.333 0.667 0.239
Li 0.667 0.333 0.761
Ca 0.000 0.000 0.000
Pr 0.000 0.000 0.500
Hg 0.333 0.667 0.741
Hg 0.667 0.333 0.259

Results
V: 149.76 Å³ per cell
SG: P-3m1
E_form: -32.4 kJ per mole of atoms

***

Entry 2:
Material: Rb2LiCaHg
Method: DFT, PBE-GGA
State: relaxed

a b c (Å): 7.951 7.951 6.252
angles (deg): 90.00 90.00 90.00
Fractional coordinates of all 5 atoms:
Rb 0.000 0.500 0.000
Rb 0.500 0.000 0.000
Li 0.000 0.000 0.500
Ca 0.000 0.000 0.000
Hg 0.500 0.500 0.500

Results
V: 395.24 Å³ per cell
SG: P4/mmm
E_form: 41.9 kJ per mole of atoms

***

Entry 3:
Material: LiCaScHg
Method: DFT, PBE-GGA
State: relaxed

a b c (Å): 5.127 5.127 5.127
angles (deg): 60.00 60.00 60.00
Fractional coordinates of all 4 atoms:
Li 0.000 0.000 0.000
Ca 0.250 0.250 0.250
Sc 0.750 0.750 0.750
Hg 0.500 0.500 0.500

Results
V: 95.27 Å³ per cell
SG: F-43m
E_form: -19.1 kJ per mole of atoms

***

Entry 4:
Material: Li2CaScHg4
Method: DFT, PBE-GGA
State: relaxed

a b c (Å): 8.721 8.721 8.721
angles (deg): 32.92 32.92 32.92
Fractional coordinates of all 8 atoms:
Li 0.247 0.247 0.247
Li 0.753 0.753 0.753
Ca 0.000 0.000 0.000
Sc 0.500 0.500 0.500
Hg 0.129 0.129 0.129
Hg 0.383 0.383 0.383
Hg 0.617 0.617 0.617
Hg 0.871 0.871 0.871

Results
V: 174.31 Å³ per cell
SG: R-3m
E_form: -39.2 kJ per mole of atoms

***

Entry 5:
Material: LiCaSc2Hg4
Method: DFT, PBE-GGA
State: relaxed

a b c (Å): 8.821 8.821 8.821
angles (deg): 32.76 32.76 32.76
Fractional coordinates of all 8 atoms:
Li 0.000 0.000 0.000
Ca 0.500 0.500 0.500
Sc 0.254 0.254 0.254
Sc 0.746 0.746 0.746
Hg 0.115 0.115 0.115
Hg 0.373 0.373 0.373
Hg 0.627 0.627 0.627
Hg 0.885 0.885 0.885

Results
V: 178.82 Å³ per cell
SG: R-3m
E_form: -38.8 kJ per mole of atoms

***

Entry 6:
Material: LiCa2HgSe
Method: DFT, PBE-GGA
State: relaxed

a b c (Å): 5.602 5.602 4.690
angles (deg): 90.00 90.00 90.00
Fractional coordinates of all 5 atoms:
Li 0.000 0.000 0.000
Ca 0.000 0.500 0.500
Ca 0.500 0.000 0.500
Hg 0.500 0.500 0.000
Se 0.000 0.000 0.500

Results
V: 147.19 Å³ per cell
SG: P4/mmm
Formation energy without anion corrections: -0.782 eV/atom

***

Entry 7:
Material: LiCaSiHg
Method: DFT, PBE-GGA
State: relaxed

a b c (Å): 4.940 4.940 4.940
angles (deg): 60.00 60.00 60.00
Fractional coordinates of all 4 atoms:
Li 0.000 0.000 0.000
Ca 0.500 0.500 0.500
Si 0.250 0.250 0.250
Hg 0.750 0.750 0.750

Results
V: 85.22 Å³ per cell
SG: F-43m
Formation energy without anion corrections: -0.256 eV/atom

***

Entry 8:
Material: Li2CaSmHg2
Method: DFT, PBE-GGA
State: relaxed

a b c (Å): 4.860 4.860 7.190
angles (deg): 90.00 90.00 120.00
Fractional coordinates of all 6 atoms:
Li 0.333 0.667 0.251
Li 0.667 0.333 0.749
Ca 0.000 0.000 0.000
Sm 0.000 0.000 0.500
Hg 0.333 0.667 0.729
Hg 0.667 0.333 0.271

Results
V: 147.06 Å³ per cell
SG: P-3m1
E_form: -32.2 kJ per mole of atoms

***

Entry 9:
Material: LiCaSm2Hg4
Method: DFT, PBE-GGA
State: relaxed

a b c (Å): 9.071 9.071 9.071
angles (deg): 33.55 33.55 33.55
Fractional coordinates of all 8 atoms:
Li 0.000 0.000 0.000
Ca 0.500 0.500 0.500
Sm 0.253 0.253 0.253
Sm 0.747 0.747 0.747
Hg 0.122 0.122 0.122
Hg 0.374 0.374 0.374
Hg 0.626 0.626 0.626
Hg 0.878 0.878 0.878

Results
V: 203.05 Å³ per cell
SG: R-3m
E_form: -46.2 kJ per mole of atoms

***

Entry 10:
Material: LiCaSmHg
Method: DFT, PBE-GGA
State: relaxed

a b c (Å): 5.334 5.334 5.334
angles (deg): 60.00 60.00 60.00
Fractional coordinates of all 4 atoms:
Li 0.000 0.000 0.000
Ca 0.250 0.250 0.250
Sm 0.750 0.750 0.750
Hg 0.500 0.500 0.500

Results
V: 107.28 Å³ per cell
SG: F-43m
E_form: -25.3 kJ per mole of atoms

***

Entry 11:
Material: LiCa2SnHg
Method: DFT, PBE-GGA
State: relaxed

a b c (Å): 5.993 5.993 5.124
angles (deg): 90.00 90.00 90.00
Fractional coordinates of all 5 atoms:
Li 0.000 0.000 0.000
Ca 0.000 0.500 0.500
Ca 0.500 0.000 0.500
Sn 0.000 0.000 0.500
Hg 0.500 0.500 0.000

Results
V: 184.00 Å³ per cell
SG: P4/mmm
E_form: -17.1 kJ per mole of atoms

***

Entry 12:
Material: Li2CaSn2Hg2
Method: DFT, PBE-GGA
State: relaxed

a b c (Å): 8.967 8.967 8.967
angles (deg): 30.62 30.62 30.62
Fractional coordinates of all 7 atoms:
Li 0.141 0.141 0.141
Li 0.859 0.859 0.859
Ca 0.000 0.000 0.000
Sn 0.260 0.260 0.260
Sn 0.740 0.740 0.740
Hg 0.440 0.440 0.440
Hg 0.560 0.560 0.560

Results
V: 165.89 Å³ per cell
SG: R-3m
E_form: -37.3 kJ per mole of atoms

***

Entry 13:
Material: Sr2LiCaHg
Method: DFT, PBE-GGA
State: relaxed

a b c (Å): 6.378 6.378 5.133
angles (deg): 90.00 90.00 90.00
Fractional coordinates of all 5 atoms:
Sr 0.000 0.500 0.000
Sr 0.500 0.000 0.000
Li 0.000 0.000 0.500
Ca 0.500 0.500 0.500
Hg 0.000 0.000 0.000

Results
Energy above the lowest structure with this stoichiometry: 0.0 meV/atom
V: 208.77 Å³ per cell
SG: P4/mmm
E_form: -7.6 kJ per mole of atoms

***

Entry 14:
Material: Sr2LiCaHg
Method: DFT, PBE-GGA
State: relaxed

a b c (Å): 6.262 6.262 5.977
angles (deg): 90.00 90.00 90.00
Fractional coordinates of all 5 atoms:
Sr 0.000 0.500 0.000
Sr 0.500 0.000 0.000
Li 0.000 0.000 0.500
Ca 0.500 0.500 0.500
Hg 0.500 0.500 0.000

Results
Energy above the lowest structure with this stoichiometry: 31.6 meV/atom
V: 234.42 Å³ per cell
SG: P4/mmm
E_form: -4.5 kJ per mole of atoms

***

Entry 15:
Material: SrLiCaHg2
Method: DFT, PBE-GGA
State: relaxed

a b c (Å): 4.434 4.434 9.460
angles (deg): 90.00 90.00 120.00
Fractional coordinates of all 5 atoms:
Sr 0.000 0.000 0.000
Li 0.333 0.667 0.672
Ca 0.667 0.333 0.422
Hg 0.333 0.667 0.229
Hg 0.667 0.333 0.765

Results
V: 161.09 Å³ per cell
SG: P3m1
E_form: -29.9 kJ per mole of atoms

***

Entry 16:
Material: SrLiCa2Hg4
Method: DFT, PBE-GGA
State: relaxed

a b c (Å): 9.371 9.371 9.371
angles (deg): 32.95 32.95 32.95
Fractional coordinates of all 8 atoms:
Sr 0.000 0.000 0.000
Li 0.500 0.500 0.500
Ca 0.243 0.243 0.243
Ca 0.757 0.757 0.757
Hg 0.126 0.126 0.126
Hg 0.386 0.386 0.386
Hg 0.614 0.614 0.614
Hg 0.874 0.874 0.874

Results
V: 216.64 Å³ per cell
SG: R-3m
E_form: -43.9 kJ per mole of atoms

***

Entry 17:
Material: SrLi2CaHg
Method: DFT, PBE-GGA
State: relaxed

a b c (Å): 7.895 7.895 7.895
angles (deg): 148.81 142.31 49.70
Fractional coordinates of all 5 atoms:
Sr 0.000 0.000 0.000
Li 0.616 0.616 0.000
Li 0.793 0.293 0.500
Ca 0.264 0.764 0.500
Hg 0.423 0.423 0.000

Results
Energy above the lowest structure with this stoichiometry: 0.0 meV/atom
V: 155.08 Å³ per cell
SG: Imm2
E_form: -18.5 kJ per mole of atoms

***

Entry 18:
Material: SrLi2CaHg2
Method: DFT, PBE-GGA
State: relaxed

a b c (Å): 4.878 4.878 7.971
angles (deg): 90.00 90.00 120.00
Fractional coordinates of all 6 atoms:
Sr 0.000 0.000 0.000
Li 0.333 0.667 0.713
Li 0.667 0.333 0.287
Ca 0.000 0.000 0.500
Hg 0.333 0.667 0.280
Hg 0.667 0.333 0.720

Results
V: 164.25 Å³ per cell
SG: P-3m1
E_form: -35.0 kJ per mole of atoms

***

Entry 19:
Material: SrLi2Ca2Hg2
Method: DFT, PBE-GGA
State: relaxed

a b c (Å): 10.982 10.982 10.982
angles (deg): 25.27 25.27 25.27
Fractional coordinates of all 7 atoms:
Sr 0.000 0.000 0.000
Li 0.402 0.402 0.402
Li 0.598 0.598 0.598
Ca 0.125 0.125 0.125
Ca 0.875 0.875 0.875
Hg 0.261 0.261 0.261
Hg 0.739 0.739 0.739

Results
V: 212.36 Å³ per cell
SG: R-3m
E_form: -26.1 kJ per mole of atoms

***

Entry 20:
Material: Sr3Li2Ca2Hg4
Method: DFT, PBE-GGA
State: relaxed

a b c (Å): 4.977 4.977 16.701
angles (deg): 90.00 90.00 120.00
Fractional coordinates of all 11 atoms:
Sr 0.000 0.000 0.000
Sr 0.000 0.000 0.250
Sr 0.000 0.000 0.750
Li 0.333 0.667 0.133
Li 0.667 0.333 0.867
Ca 0.333 0.667 0.569
Ca 0.667 0.333 0.431
Hg 0.333 0.667 0.359
Hg 0.333 0.667 0.875
Hg 0.667 0.333 0.125
Hg 0.667 0.333 0.641

Results
V: 358.35 Å³ per cell
SG: P-3m1
E_form: -32.7 kJ per mole of atoms